{"formula": "K3Sm3PdO8", "functional": "PBE", "state": "optimized geometry", "lattice_angstrom": [[6.954, 0.000, 0.000], [-3.477, 6.022, -0.023], [0.000, -3.992, 6.307]], "species": ["O", "O", "O", "O", "Sm", "O", "O", "K", "Pd", "Sm", "K", "K", "Sm", "O", "O"], "frac_coords": [[0.271, 0.542, 0.313], [0.756, 0.967, 0.677], [0.210, 0.967, 0.677], [0.729, 0.458, 0.687], [0.500, 0.500, 0.500], [0.210, 0.421, 0.677], [0.244, 0.033, 0.323], [0.000, 0.500, 0.000], [0.000, 0.000, 0.500], [0.500, 0.000, 0.500], [0.500, 0.500, 0.000], [0.000, 0.000, 0.000], [0.000, 0.500, 0.500], [0.790, 0.579, 0.323], [0.790, 0.033, 0.323]], "magnetic_moment_mub_per_cell": 0.00, "raw_formation_energy_mev_per_atom": -2198, "space_group": "R-3m (166)"}



{"formula": "K2SmPdO4", "functional": "PBE", "state": "optimized geometry", "lattice_angstrom": [[-0.767, 3.003, 1.362], [-5.337, -2.135, 1.703], [4.534, -1.032, 4.830]], "species": ["O", "O", "O", "O", "Sm", "K", "K", "Pd"], "frac_coords": [[0.500, 0.199, 0.168], [0.500, 0.801, 0.832], [0.000, 0.287, 0.782], [0.000, 0.713, 0.218], [0.500, 0.500, 0.000], [0.000, 0.500, 0.500], [0.500, 0.000, 0.500], [0.000, 0.000, 0.000]], "magnetic_moment_mub_per_cell": 1.00, "raw_formation_energy_mev_per_atom": -1640, "space_group": "P2/m (10)"}



{"formula": "K2SnPdO4", "functional": "PBE", "state": "optimized geometry", "lattice_angstrom": [[-0.621, -2.945, -4.727], [4.049, -2.114, 3.247], [-4.624, -0.151, 3.163]], "species": ["O", "O", "O", "Pd", "Sn", "K", "K", "O"], "frac_coords": [[0.851, 0.575, 0.141], [0.565, 0.276, 0.425], [0.435, 0.859, 0.711], [0.000, 0.500, 0.500], [0.500, 0.250, 0.750], [0.000, 0.000, 0.000], [0.500, 0.750, 0.250], [0.149, 0.289, 0.724]], "magnetic_moment_mub_per_cell": 0.00, "raw_formation_energy_mev_per_atom": -1176, "space_group": "I-4 (82)"}



{"formula": "K2SrPdO4", "functional": "PBE", "state": "optimized geometry", "lattice_angstrom": [[-2.841, -5.469, 2.130], [-3.509, -4.282, -5.694], [8.088, -8.320, -0.595]], "species": ["O", "O", "O", "O", "O", "O", "O", "Sr", "O", "Pd", "Pd", "K", "K", "K", "K", "Sr"], "frac_coords": [[0.632, 0.189, 0.969], [0.959, 0.689, 0.469], [0.399, 0.811, 0.969], [0.118, 0.311, 0.531], [0.791, 0.811, 0.031], [0.572, 0.311, 0.469], [0.178, 0.189, 0.031], [0.000, 0.000, 0.000], [0.351, 0.689, 0.531], [0.500, 0.000, 0.000], [0.250, 0.500, 0.500], [0.562, 0.500, 0.876], [0.938, 0.500, 0.124], [0.812, 0.000, 0.376], [0.188, 0.000, 0.624], [0.750, 0.500, 0.500]], "magnetic_moment_mub_per_cell": 4.05, "raw_formation_energy_mev_per_atom": -1045, "space_group": "Fddd (70)"}